# TiMnBe10

Crystalline TiMnBe10 at its relaxed geometry (PBE, the Alexandria database).

Geometry as POSCAR:
```
TiMnBe10
1.0
3.4320 0.0000 0.0000
0.0000 4.2961 0.0000
0.0000 0.0000 7.4186
Ti Mn Be
1 1 10
Cartesian
0.0000 0.0000 0.0000
0.0000 2.1480 3.7093
0.0000 0.0000 2.5220
0.0000 2.1480 6.1195
0.0000 2.1480 1.2990
0.0000 0.0000 4.8965
1.7160 0.0000 3.7093
1.7160 2.1480 0.0000
1.7160 1.0714 1.8809
1.7160 3.2247 5.5376
1.7160 3.2247 1.8809
1.7160 1.0714 5.5376
```

Results
calculated volume	9.12	A^3/atom
space group	No. 47
ΔH_f (0 K)	-130	meV per atom
theoretical density	2.9	g cm⁻³
D(E_F)	0.326	states/eV per atom

***

# TiMnBe

Crystalline TiMnBe at its relaxed geometry (PBE, the Alexandria database).

Geometry as POSCAR:
```
TiMnBe
1.0
-2.1121 -0.7717 1.9732
2.1129 -0.9737 1.8809
0.2074 4.4744 -0.2959
Be Mn Ti
1 1 1
Cartesian
0.0423 -0.1463 2.2560
0.1938 2.4796 3.4452
0.1179 2.0441 0.9257
```

Results
calculated volume	11.81	A^3/atom
space group	No. 107
ΔH_f (0 K)	-132	meV per atom
theoretical density	5.2	g cm⁻³
offset from the most stable computed form	111	meV/atom
D(E_F)	0.560	states/eV per atom

***

# TiMn3Be

Crystalline TiMn3Be at its relaxed geometry (PBE, the Alexandria database).

Geometry as POSCAR:
```
TiMn3Be
1.0
3.9830 0.0000 0.0000
0.0000 3.9830 0.0000
0.0000 0.0000 3.9830
Be Mn Ti
1 3 1
Cartesian
0.0000 0.0000 0.0000
0.0000 1.9915 0.0000
0.0000 0.0000 1.9915
1.9915 0.0000 0.0000
1.9915 1.9915 1.9915
```

Results
calculated volume	12.64	A^3/atom
space group	No. 221
ΔH_f (0 K)	390	meV per atom
theoretical density	5.8	g cm⁻³
offset from the most stable computed form	0	meV/atom
D(E_F)	0.731	states/eV per atom

***

# TiMnBe2

Crystalline TiMnBe2 at its relaxed geometry (PBE, the Alexandria database).

Geometry as POSCAR:
```
TiMnBe2
1.0
-0.3745 -1.4647 -2.4512
-0.4125 -2.4185 1.5082
-5.1312 0.9938 0.1902
Be Mn Ti
2 1 1
Cartesian
-4.0832 0.7909 0.1513
-1.0480 0.2030 0.0388
-0.3935 -1.9416 -0.4715
-2.9592 -1.4447 -0.3764
```

Results
calculated volume	10.84	A^3/atom
space group	No. 123
ΔH_f (0 K)	-98	meV per atom
theoretical density	4.6	g cm⁻³
D(E_F)	0.600	states/eV per atom

***

# Ti3MnBe2

Crystalline Ti3MnBe2 at its relaxed geometry (PBE, the Alexandria database).

Geometry as POSCAR:
```
Ti3MnBe2
1.0
-1.1608 -2.3602 1.4156
2.4655 -0.2091 1.6731
-3.5505 5.2800 5.8917
Ti Mn Be
3 1 2
Cartesian
0.0000 0.0000 0.0000
-2.3581 3.5069 3.9131
-1.1923 1.7732 1.9786
-1.1229 1.3554 4.4902
-2.3040 3.1118 6.4501
0.0582 -0.4010 2.5303
```

Results
calculated volume	12.89	A^3/atom
space group	No. 123
ΔH_f (0 K)	-204	meV per atom
theoretical density	4.6	g cm⁻³
D(E_F)	0.649	states/eV per atom

***

# TiMn3Be8

Crystalline TiMn3Be8 at its relaxed geometry (PBE, the Alexandria database).

Geometry as POSCAR:
```
TiMn3Be8
1.0
4.2449 0.0000 0.0000
-2.1225 3.6762 0.0000
0.0000 0.0000 6.9507
Ti Mn Be
1 3 8
Cartesian
0.0000 0.0000 3.9179
2.1225 1.2254 2.9655
2.1225 1.2254 0.4719
0.0000 0.0000 6.5285
0.0000 2.4508 3.4456
0.0000 2.4508 0.0048
2.1225 0.0230 5.2701
1.0811 1.8266 5.2701
3.1638 1.8266 5.2701
0.0000 1.2065 1.6949
-1.0776 3.0729 1.6949
1.0776 3.0729 1.6949
```

Results
calculated volume	9.04	A^3/atom
space group	No. 156
ΔH_f (0 K)	-283	meV per atom
theoretical density	4.4	g cm⁻³
D(E_F)	0.406	states/eV per atom